(1)
PuZr6Pa2: relaxed, PBE.

Structure (POSCAR):
```
PuZr6Pa2
1.0
-1.3848 4.7170 1.6421
-8.8219 -5.9939 2.1019
-2.9026 -6.4093 8.2866
Zr Pa Pu
12 4 2
Direct
0.6039 0.7242 0.1108 Zr
0.8960 0.8892 0.2758 Zr
0.9767 0.3239 0.0379 Zr
0.0637 0.5180 0.3346 Zr
0.4363 0.6654 0.4820 Zr
0.9363 0.4820 0.6654 Zr
0.3961 0.2758 0.8892 Zr
0.1040 0.1108 0.7242 Zr
0.5233 0.9621 0.6761 Zr
0.4767 0.0379 0.3239 Zr
0.0233 0.6761 0.9621 Zr
0.5637 0.3346 0.5180 Zr
0.9715 0.8134 0.5977 Pa
0.4715 0.5976 0.8134 Pa
0.5285 0.4024 0.1866 Pa
0.0285 0.1866 0.4023 Pa
0.2500 0.9033 0.0967 Pu
0.7500 0.0967 0.9033 Pu
```

=====

(2)
Pu2Zr2Pa15: relaxed, PBE.

Structure (POSCAR):
```
Pu2Zr2Pa15
1.0
2.9566 7.2822 1.0497
-6.1069 3.2075 3.9104
2.7297 -0.8820 7.3921
Pa Zr Pu
15 2 2
Direct
0.5000 0.0000 0.0000 Pa
0.6778 0.0000 0.3222 Pa
0.6543 0.1677 0.6543 Pa
0.0000 0.0000 0.5000 Pa
0.0000 0.5000 0.0000 Pa
0.3222 0.0000 0.6778 Pa
0.1677 0.6543 0.6543 Pa
0.6778 0.3222 0.0000 Pa
0.8323 0.3457 0.3457 Pa
0.3222 0.6778 0.0000 Pa
0.0000 0.3222 0.6778 Pa
0.3457 0.3457 0.8323 Pa
0.3457 0.8323 0.3457 Pa
0.6543 0.6543 0.1677 Pa
0.0000 0.6778 0.3222 Pa
0.3090 0.3090 0.3090 Zr
0.6910 0.6910 0.6910 Zr
0.0924 0.0924 0.0924 Pu
0.9076 0.9076 0.9076 Pu
```

=====

(3)
PuZrPa: relaxed, PBE.

Structure (POSCAR):
```
PuZrPa
1.0
-2.8577 -0.8198 -1.1143
-0.7119 -3.0090 4.0392
-1.4619 4.8694 0.1667
Zr Pu Pa
1 1 1
Direct
0.3334 0.3333 0.6667 Zr
0.8333 0.0000 0.0000 Pu
0.8333 0.6667 0.3333 Pa
```

Values from the calculation:
Polymorph energy (0 for the lowest one) ... 59 meV per atom

=====

(4)
PuZr2Pa6: relaxed, PBE.

Structure (POSCAR):
```
PuZr2Pa6
1.0
0.5065 3.3970 -4.3708
-9.3645 -5.1506 1.8891
0.9271 3.8740 10.0958
Pu Pa Zr
2 12 4
Direct
0.7500 0.2500 0.7500 Pu
0.2500 0.7500 0.2500 Pu
0.3407 0.3326 0.5035 Pa
0.5768 0.4159 0.9159 Pa
0.0768 0.9159 0.4159 Pa
0.8407 0.5035 0.3326 Pa
0.1594 0.1675 0.9965 Pa
0.9232 0.0841 0.5841 Pa
0.4232 0.5841 0.0841 Pa
0.6593 0.6674 0.4965 Pa
0.3406 0.0035 0.8325 Pa
0.1593 0.4965 0.6674 Pa
0.6594 0.9965 0.1675 Pa
0.8406 0.8325 0.0035 Pa
0.4999 0.8319 0.6680 Zr
0.0001 0.3320 0.1681 Zr
0.5001 0.1681 0.3320 Zr
0.9999 0.6680 0.8319 Zr
```

=====

(5)
PuZrPa3: relaxed, PBE.

Structure (POSCAR):
```
PuZrPa3
1.0
1.8609 7.6257 -0.1624
-1.8609 7.6257 -0.1624
0.0000 2.7917 8.5275
Pa Pu Zr
6 2 2
Direct
0.9370 0.9370 0.6643 Pa
0.2427 0.2427 0.8361 Pa
0.6465 0.6465 0.5941 Pa
0.0630 0.0630 0.3357 Pa
0.3535 0.3535 0.4059 Pa
0.7573 0.7573 0.1639 Pa
0.9261 0.9261 0.2245 Pu
0.0739 0.0739 0.7755 Pu
0.5877 0.5877 0.0417 Zr
0.4123 0.4123 0.9583 Zr
```

Values from the calculation:
Polymorph energy (0 for the lowest one) ... 189 meV per atom

=====

(6)
PuZrPa: relaxed, PBE.

Structure (POSCAR):
```
PuZrPa
1.0
3.3596 -0.2016 0.1282
0.3207 4.6850 1.2794
-0.0981 -0.4640 8.2018
Pa Pu Zr
2 2 2
Direct
0.9201 0.4595 0.1246 Pa
0.9383 0.1913 0.5901 Pa
0.6854 0.9985 0.3396 Pu
0.1731 0.6523 0.3751 Pu
0.5507 0.6180 0.7510 Zr
0.3078 0.0328 0.9637 Zr
```

Values from the calculation:
Polymorph energy (0 for the lowest one) ... 0 meV per atom

=====

(7)
PuZr8Pa2: relaxed, PBE.

Structure (POSCAR):
```
PuZr8Pa2
1.0
-2.6557 0.6161 -1.5488
-3.3230 -7.5683 2.6940
-6.4725 1.4398 8.4986
Pa Zr Pu
2 8 1
Direct
0.6909 0.7009 0.5873 Pa
0.3078 0.2994 0.3521 Pa
0.5620 0.7593 0.8445 Zr
0.6843 0.3544 0.6001 Zr
0.3141 0.6453 0.3400 Zr
0.8160 0.9741 0.3359 Zr
0.4373 0.2416 0.0948 Zr
0.0639 0.4304 0.8388 Zr
0.9347 0.5706 0.1007 Zr
0.1829 0.0262 0.6032 Zr
0.0007 0.0008 0.9693 Pu
```

=====

(8)
Pu3Zr3Pa: relaxed, PBE.

Structure (POSCAR):
```
Pu3Zr3Pa
1.0
-4.3297 2.8398 2.2994
-1.0242 -5.5360 -0.6334
5.9988 -1.1382 10.0120
Pa Pu Zr
2 6 6
Direct
0.6401 0.6401 0.8754 Pa
0.3599 0.3599 0.1246 Pa
0.8189 0.8189 0.1604 Pu
0.4014 0.9963 0.2720 Pu
0.1811 0.1811 0.8396 Pu
0.9963 0.4014 0.2720 Pu
0.5986 0.0037 0.7280 Pu
0.0037 0.5986 0.7280 Pu
0.7758 0.2242 0.0000 Zr
0.6019 0.6019 0.3937 Zr
0.8080 0.1920 0.5000 Zr
0.2242 0.7758 0.0000 Zr
0.1920 0.8080 0.5000 Zr
0.3981 0.3981 0.6063 Zr
```

=====

(9)
Pu3Zr2Pa: relaxed, PBE.

Structure (POSCAR):
```
Pu3Zr2Pa
1.0
-1.0652 2.2413 -4.3851
1.5321 -4.9793 -2.9171
-16.9469 -5.8688 1.1168
Pa Pu Zr
4 12 8
Direct
0.2500 0.8887 0.4380 Pa
0.2500 0.3887 0.0620 Pa
0.7500 0.1113 0.5620 Pa
0.7500 0.6113 0.9380 Pa
0.2500 0.3350 0.5107 Pu
0.2500 0.8350 0.9893 Pu
0.7500 0.5386 0.6662 Pu
0.2500 0.4614 0.3338 Pu
0.7500 0.4345 0.7986 Pu
0.7500 0.1650 0.0107 Pu
0.2500 0.5655 0.2014 Pu
0.2500 0.0655 0.2986 Pu
0.2500 0.9614 0.1662 Pu
0.7500 0.0386 0.8338 Pu
0.7500 0.9345 0.7014 Pu
0.7500 0.6650 0.4893 Pu
0.2500 0.7441 0.7933 Zr
0.7500 0.7186 0.1133 Zr
0.2500 0.7814 0.6133 Zr
0.2500 0.2814 0.8867 Zr
0.2500 0.2441 0.7067 Zr
0.7500 0.7559 0.2933 Zr
0.7500 0.2186 0.3867 Zr
0.7500 0.2559 0.2067 Zr
```

=====

(10)
PuZrPa: relaxed, PBE.

Structure (POSCAR):
```
PuZrPa
1.0
-3.2937 -0.6116 0.7554
0.0289 -2.7294 -2.0840
3.3553 -1.8627 5.3157
Pu Pa Zr
1 1 1
Direct
0.6543 0.6543 0.3086 Pu
0.0091 0.0091 0.0182 Pa
0.3366 0.3366 0.6732 Zr
```

Values from the calculation:
Polymorph energy (0 for the lowest one) ... 101 meV per atom

=====

(11)
PuZr4Pa: relaxed, PBE.

Structure (POSCAR):
```
PuZr4Pa
1.0
-0.8731 1.8977 -2.2051
-6.3134 -3.7426 -0.7214
-3.1598 4.3807 5.0210
Zr Pa Pu
4 1 1
Direct
0.0000 0.2358 0.2359 Zr
0.5000 0.2712 0.7288 Zr
0.5000 0.7288 0.2712 Zr
0.0000 0.7642 0.7641 Zr
0.5000 0.0000 0.0000 Pa
0.0000 0.5000 0.5000 Pu
```

Values from the calculation:
Polymorph energy (0 for the lowest one) ... 748 meV per atom

=====

(12)
PuZr2Pa2: relaxed, PBE.

Structure (POSCAR):
```
PuZr2Pa2
1.0
-3.1932 1.9379 -2.8769
2.8142 -0.8246 -3.6791
-2.9698 -10.4351 0.1303
Pa Zr Pu
4 4 2
Direct
0.8407 0.7469 0.6814 Pa
0.6598 0.7514 0.3196 Pa
0.3402 0.2486 0.6804 Pa
0.1593 0.2531 0.3186 Pa
0.9487 0.2488 0.8974 Zr
0.5515 0.2510 0.1030 Zr
0.0513 0.7512 0.1026 Zr
0.4485 0.7490 0.8970 Zr
0.2252 0.7547 0.4503 Pu
0.7748 0.2453 0.5497 Pu
```

=====

(13)
PuZrPa: relaxed, PBE.

Structure (POSCAR):
```
PuZrPa
1.0
3.2650 0.0000 0.0000
-1.6325 5.4865 -0.0766
0.0000 -2.8012 7.9810
Zr Pa Pu
2 2 2
Direct
0.8483 0.6966 0.9457 Zr
0.1517 0.3034 0.0543 Zr
0.1688 0.3375 0.6116 Pa
0.8312 0.6625 0.3884 Pa
0.4852 0.9704 0.7166 Pu
0.5148 0.0296 0.2834 Pu
```

Values from the calculation:
Polymorph energy (0 for the lowest one) ... 55 meV per atom

=====

(14)
Pu2ZrPa5: relaxed, PBE.

Structure (POSCAR):
```
Pu2ZrPa5
1.0
4.4578 0.0000 0.0000
0.0000 6.6132 0.0000
0.0000 0.0000 13.1907
Pa Pu Zr
10 4 2
Direct
0.0000 0.4955 0.7490 Pa
0.0000 0.9955 0.7510 Pa
0.0000 0.5045 0.2510 Pa
0.0000 0.5000 0.5000 Pa
0.5000 0.2494 0.8757 Pa
0.0000 0.0000 0.0000 Pa
0.5000 0.7494 0.6243 Pa
0.5000 0.2506 0.3757 Pa
0.5000 0.7506 0.1243 Pa
0.0000 0.0045 0.2490 Pa
0.5000 0.2411 0.6232 Pu
0.5000 0.7589 0.3768 Pu
0.5000 0.7411 0.8768 Pu
0.5000 0.2589 0.1232 Pu
0.0000 0.0000 0.5000 Zr
0.0000 0.5000 0.0000 Zr
```

=====

(15)
PuZrPa3: relaxed, PBE.

Structure (POSCAR):
```
PuZrPa3
1.0
-0.5650 1.4296 4.5489
-0.1003 -7.0510 -0.3307
7.3997 2.6651 0.0816
Pa Pu Zr
6 2 2
Direct
0.0532 0.1064 0.3327 Pa
0.9468 0.8936 0.6673 Pa
0.3859 0.7718 0.3407 Pa
0.2863 0.5725 0.6926 Pa
0.6141 0.2282 0.6593 Pa
0.7137 0.4275 0.3074 Pa
0.4914 0.9828 0.8467 Pu
0.5086 0.0172 0.1533 Pu
0.8410 0.6820 0.9957 Zr
0.1590 0.3180 0.0043 Zr
```

Values from the calculation:
Polymorph energy (0 for the lowest one) ... 0 meV per atom

=====

(16)
PuZr4Pa4: relaxed, PBE.

Structure (POSCAR):
```
PuZr4Pa4
1.0
3.0808 0.0000 0.9301
1.5404 8.1167 0.4651
-0.8055 0.0000 8.2354
Zr Pa Pu
4 4 1
Direct
0.5000 0.1696 0.3303 Zr
0.8303 0.1697 0.6696 Zr
0.1697 0.8303 0.3304 Zr
0.5000 0.8304 0.6697 Zr
0.1682 0.1636 0.0000 Pa
0.8318 0.8364 0.0000 Pa
0.1682 0.5000 0.6636 Pa
0.8318 0.5000 0.3364 Pa
0.5000 0.5000 0.0000 Pu
```

=====

(17)
PuZr2Pa8: relaxed, PBE.

Structure (POSCAR):
```
PuZr2Pa8
1.0
5.4449 -0.1316 0.0649
0.1504 7.9335 4.1359
-0.0483 1.3431 7.1076
Pa Zr Pu
8 2 1
Direct
0.0000 0.7660 0.4619 Pa
0.5003 0.7118 0.2554 Pa
0.0002 0.6983 0.0000 Pa
0.5003 0.9670 0.7446 Pa
0.9998 0.2955 0.0000 Pa
0.4997 0.2821 0.7446 Pa
0.0000 0.2278 0.5381 Pa
0.4997 0.0268 0.2554 Pa
0.5000 0.3699 0.2543 Zr
0.5000 0.6239 0.7458 Zr
0.0000 0.9969 0.0000 Pu
```

=====

(18)
Pu2Zr6Pa: relaxed, PBE.

Structure (POSCAR):
```
Pu2Zr6Pa
1.0
5.2666 0.4041 0.6483
0.6668 9.0667 5.1896
0.5851 1.9992 10.2588
Pa Zr Pu
2 12 4
Direct
0.7500 0.7608 0.2392 Pa
0.2500 0.2392 0.7608 Pa
0.5915 0.5086 0.6532 Zr
0.6373 0.1682 0.0042 Zr
0.0915 0.6532 0.5086 Zr
0.1373 0.0042 0.1682 Zr
0.4085 0.4914 0.3468 Zr
0.3627 0.8318 0.9958 Zr
0.9085 0.3468 0.4914 Zr
0.5651 0.9137 0.4140 Zr
0.9349 0.5860 0.0863 Zr
0.8627 0.9958 0.8318 Zr
0.4349 0.0863 0.5860 Zr
0.0651 0.4140 0.9137 Zr
0.5401 0.6665 0.8304 Pu
0.9599 0.1696 0.3335 Pu
0.0401 0.8304 0.6665 Pu
0.4599 0.3335 0.1696 Pu
```

=====

(19)
PuZr4Pa: relaxed, PBE.

Structure (POSCAR):
```
PuZr4Pa
1.0
-5.2805 1.6737 -0.1287
1.7740 -3.2947 -4.0888
-2.8210 -4.8671 1.0855
Zr Pu Pa
4 1 1
Direct
0.6670 0.8340 0.5012 Zr
0.8289 0.6717 0.0014 Zr
0.1673 0.3338 0.0012 Zr
0.3293 0.1713 0.5014 Zr
0.9981 0.5026 0.5013 Pu
0.4982 0.0028 0.0013 Pa
```

Values from the calculation:
Polymorph energy (0 for the lowest one) ... 0 meV per atom

=====

(20)
PuZrPa: relaxed, PBE.

Structure (POSCAR):
```
PuZrPa
1.0
-3.8049 1.6466 2.9483
-4.3358 -2.6472 0.2719
0.0034 -4.2016 6.7400
Zr Pu Pa
2 2 2
Direct
0.4354 0.4354 0.6938 Zr
0.5646 0.5646 0.3062 Zr
0.2915 0.2915 0.1256 Pu
0.7085 0.7085 0.8744 Pu
0.1591 0.1591 0.5226 Pa
0.8409 0.8409 0.4774 Pa
```

Values from the calculation:
Polymorph energy (0 for the lowest one) ... 422 meV per atom

=====

(21)
RbPa4: relaxed, PBE.

Structure (POSCAR):
```
RbPa4
1.0
-0.0238 1.1662 -5.1938
-5.1948 1.1283 0.2772
1.1616 5.0698 1.1330
Pa Rb
4 1
Direct
0.0000 0.5000 0.5000 Pa
0.5000 0.5000 0.0000 Pa
0.0000 0.0000 0.0000 Pa
0.5000 0.0000 0.5000 Pa
0.5000 0.5000 0.5000 Rb
```

=====

no.,calculated volume (Å³ per cell),total magnetic moment (Bohr magnetons per cell),DFT formation energy (eV/atom)
1,430,10.1,0.18
2,483,9.2,0.27
3,71,5.1,0.08
4,435,9.1,0.10
5,244,0.0,0.27
6,132,0.0,0.02
7,271,5.6,0.19
8,340,31.1,0.20
9,541,27.7,0.07
10,72,6.0,0.12
11,165,4.5,0.81
12,235,7.4,0.06
13,142,10.0,0.08
14,389,17.9,0.06
15,232,0.0,0.08
16,212,5.2,0.05
17,277,2.7,0.25
18,431,21.1,0.13
19,142,5.2,0.07
20,165,11.7,0.44
21,151,0.0,2.09